Density functional theory data (PBE) for SrHf2Ti after structural relaxation.

* excess energy over the best structure of this formula in the dataset: 12.49 kcal/mol of atoms
* ΔE_f: 1.283 eV/atom
* total moment: 3.6 μB per cell
* DOS(E_F): 1.20 states/eV/atom
* raw total energy: -97.4 eV for the cell shown

Unit cell a=5.284 b=5.284 c=19.780 alpha=90.00 beta=90.00 gamma=90.00
Space group I4_1/amd (No. 141, origin choice 2)
Unique sites:
Sr (0.000, 0.250, 0.375) x4
Hf (0.000, 0.000, 0.000) x8
Ti (0.000, 0.250, 0.875) x4



Density functional theory data (PBE) for SrHf2Ti after structural relaxation.

* excess energy over the best structure of this formula in the dataset: 0.00 kcal/mol of atoms
* ΔE_f: 0.741 eV/atom
* total moment: 14.8 μB per cell
* DOS(E_F): 1.11 states/eV/atom
* raw total energy: -106.1 eV for the cell shown

Unit cell a=7.344 b=7.344 c=7.344 alpha=90.00 beta=90.00 gamma=90.00
Space group Fm-3m (No. 225)
Unique sites:
Sr (0.000, 0.000, 0.000) x4
Hf (0.250, 0.250, 0.250) x8
Ti (0.000, 0.000, 0.500) x4



Density functional theory data (PBE) for SrHfTi2 after structural relaxation.

* excess energy over the best structure of this formula in the dataset: 0.00 kcal/mol of atoms
* ΔE_f: 0.710 eV/atom
* total moment: 13.6 μB per cell
* DOS(E_F): 1.76 states/eV/atom
* raw total energy: -98.3 eV for the cell shown

Unit cell a=7.245 b=7.245 c=7.245 alpha=90.00 beta=90.00 gamma=90.00
Space group Fm-3m (No. 225)
Unique sites:
Sr (0.000, 0.000, 0.000) x4
Hf (0.000, 0.000, 0.500) x4
Ti (0.250, 0.250, 0.250) x8



Density functional theory data (PBE) for Sr2Hf2Ti after structural relaxation.

* excess energy over the best structure of this formula in the dataset: 7.16 kcal/mol of atoms
* ΔE_f: 1.221 eV/atom
* total moment: 2.8 μB per cell
* DOS(E_F): 1.02 states/eV/atom
* raw total energy: -50.1 eV for the cell shown

Unit cell a=9.310 b=9.310 c=3.329 alpha=90.00 beta=90.00 gamma=90.00
Space group P4/mbm (No. 127)
Unique sites:
Sr (0.128, 0.372, 0.000) x4
Hf (0.174, 0.674, 0.500) x4
Ti (0.000, 0.000, 0.000) x2



Density functional theory data (PBE) for SrHfTi2 after structural relaxation.

* excess energy over the best structure of this formula in the dataset: 9.66 kcal/mol of atoms
* ΔE_f: 1.129 eV/atom
* total moment: 0.0 μB per cell
* DOS(E_F): 1.79 states/eV/atom
* raw total energy: -91.6 eV for the cell shown

Unit cell a=4.899 b=4.899 c=20.050 alpha=90.00 beta=90.00 gamma=90.00
Space group I-42d (No. 122)
Unique sites:
Sr (0.000, 0.000, 0.000) x4
Hf (0.000, 0.000, 0.500) x4
Ti (0.014, 0.750, 0.625) x8



Density functional theory data (PBE) for SrHf3Ti after structural relaxation.

* excess energy over the best structure of this formula in the dataset: 0.00 kcal/mol of atoms
* ΔE_f: 0.791 eV/atom
* total moment: 0.0 μB per cell
* DOS(E_F): 1.71 states/eV/atom
* raw total energy: -35.5 eV for the cell shown

Unit cell a=5.150 b=5.150 c=5.150 alpha=90.00 beta=90.00 gamma=90.00
Space group Pm-3m (No. 221)
Unique sites:
Sr (0.000, 0.000, 0.000) x1
Hf (0.000, 0.500, 0.500) x3
Ti (0.500, 0.500, 0.500) x1



Density functional theory data (PBE) for SrHfTiV2 after structural relaxation.

* ΔE_f: 2.254 eV/atom
* total moment: 0.0 μB per cell
* DOS(E_F): 1.95 states/eV/atom
* raw total energy: -26.5 eV for the cell shown

Unit cell a=4.544 b=4.544 c=5.069 alpha=90.00 beta=90.00 gamma=90.00
Space group P4/mmm (No. 123)
Unique sites:
Sr (0.000, 0.000, 0.000) x1
Hf (0.000, 0.000, 0.500) x1
Ti (0.500, 0.500, 0.500) x1
V (0.000, 0.500, 0.000) x2



Density functional theory data (PBE) for Sr2HfTiV after structural relaxation.

* ΔE_f: 1.251 eV/atom
* total moment: 1.7 μB per cell
* DOS(E_F): 1.11 states/eV/atom
* raw total energy: -24.1 eV for the cell shown

Unit cell a=5.921 b=5.921 c=4.374 alpha=90.00 beta=90.00 gamma=90.00
Space group P4/mmm (No. 123)
Unique sites:
Sr (0.000, 0.500, 0.000) x2
Hf (0.000, 0.000, 0.500) x1
Ti (0.500, 0.500, 0.500) x1
V (0.500, 0.500, 0.000) x1



Density functional theory data (PBE) for SrHfTi2Zn after structural relaxation.

* ΔE_f: 1.683 eV/atom
* total moment: 0.0 μB per cell
* DOS(E_F): 1.48 states/eV/atom
* raw total energy: -20.3 eV for the cell shown

Unit cell a=4.725 b=4.725 c=5.137 alpha=90.00 beta=90.00 gamma=90.00
Space group P4/mmm (No. 123)
Unique sites:
Sr (0.000, 0.000, 0.000) x1
Hf (0.500, 0.500, 0.500) x1
Ti (0.000, 0.500, 0.000) x2
Zn (0.000, 0.000, 0.500) x1



Density functional theory data (PBE) for SrHfZrTi2 after structural relaxation.

* ΔE_f: 1.333 eV/atom
* total moment: 0.0 μB per cell
* DOS(E_F): 2.02 states/eV/atom
* raw total energy: -29.3 eV for the cell shown

Unit cell a=4.896 b=4.896 c=5.495 alpha=90.00 beta=90.00 gamma=90.00
Space group P4/mmm (No. 123)
Unique sites:
Sr (0.000, 0.000, 0.000) x1
Hf (0.500, 0.500, 0.000) x1
Zr (0.000, 0.000, 0.500) x1
Ti (0.000, 0.500, 0.500) x2



Density functional theory data (PBE) for SrHf2Tl after structural relaxation.

* ΔE_f: 0.649 eV/atom
* total moment: 0.0 μB per cell
* DOS(E_F): 2.69 states/eV/atom
* raw total energy: -85.4 eV for the cell shown

Unit cell a=4.465 b=4.465 c=22.487 alpha=90.00 beta=90.00 gamma=90.00
Space group I-42d (No. 122)
Unique sites:
Sr (0.000, 0.000, 0.000) x4
Hf (0.231, 0.250, 0.625) x8
Tl (0.000, 0.000, 0.500) x4



Density functional theory data (PBE) for SrHf2Tl after structural relaxation.

* ΔE_f: 0.649 eV/atom
* total moment: 0.0 μB per cell
* DOS(E_F): 1.78 states/eV/atom
* raw total energy: -85.4 eV for the cell shown

Unit cell a=7.378 b=7.378 c=7.378 alpha=90.00 beta=90.00 gamma=90.00
Space group Fm-3m (No. 225)
Unique sites:
Sr (0.000, 0.000, 0.000) x4
Hf (0.250, 0.250, 0.250) x8
Tl (0.000, 0.000, 0.500) x4